DFT (GGA-PBE) results for a relaxed ReSnPb crystal.

Cell and atoms, written as POSCAR:
```
ReSnPb
1.0
0.000 3.298 3.298
3.298 0.000 3.298
3.298 3.298 0.000
Re Sn Pb
1 1 1
Direct
0.000 0.000 0.000 Re
0.250 0.250 0.250 Sn
0.750 0.750 0.750 Pb
```

Results
Size of the total moment (μB/atom): 0.00
Volume (A^3/atom): 23.9
VASP energy (eV per atom): -5.915

---

DFT (GGA-PBE) results for a relaxed TbRePb crystal.

Cell and atoms, written as POSCAR:
```
TbRePb
1.0
0.000 3.367 3.367
3.367 0.000 3.367
3.367 3.367 0.000
Tb Re Pb
1 1 1
Direct
0.000 0.000 0.000 Tb
0.500 0.500 0.500 Re
0.750 0.750 0.750 Pb
```

Results
Size of the total moment (μB/atom): 0.06
Volume (A^3/atom): 25.4
VASP energy (eV per atom): -6.075

---

DFT (GGA-PBE) results for a relaxed ThRePb crystal.

Cell and atoms, written as POSCAR:
```
ThRePb
1.0
0.000 3.464 3.464
3.464 0.000 3.464
3.464 3.464 0.000
Th Re Pb
1 1 1
Direct
0.000 0.000 0.000 Th
0.500 0.500 0.500 Re
0.750 0.750 0.750 Pb
```

Results
Size of the total moment (μB/atom): 0.40
Volume (A^3/atom): 27.7
VASP energy (eV per atom): -6.820